No. 1
Cs2SF (PBE, optimized geometry); density = 3.23 g/cm³; offset from the most stable computed form = 22.9 meV/atom; SG = I-42d; E = -3.375 eV per atom
1.0
-4.153 4.153 4.722
4.153 -4.153 4.722
4.153 4.153 -4.722
Cs S F
4 2 2
direct
0.060 0.125 0.435
0.375 0.940 0.065
0.690 0.625 0.565
0.875 0.310 0.935
0.250 0.750 0.500
0.500 0.500 0.000
0.000 0.000 0.000
0.750 0.250 0.500


No. 2
CsS2F2 (PBE, optimized geometry); density = 2.79 g/cm³; offset from the most stable computed form = 0.0 meV/atom; SG = P4/mbm; E = -3.727 eV per atom
1.0
8.037 0.000 0.000
0.000 8.037 0.000
0.000 0.000 4.327
Cs S F
2 4 4
direct
0.000 0.000 0.000
0.500 0.500 0.000
0.081 0.419 0.500
0.419 0.919 0.500
0.581 0.081 0.500
0.919 0.581 0.500
0.183 0.317 0.000
0.317 0.817 0.000
0.683 0.183 0.000
0.817 0.683 0.000


No. 3
Cs4SF (PBE, optimized geometry); density = 3.65 g/cm³; SG = Cm; E = -2.772 eV per atom
1.0
4.034 -4.034 0.000
4.034 4.034 0.000
-0.022 0.000 8.132
Cs S F
4 1 1
direct
0.250 0.750 0.000
0.251 0.751 0.514
0.750 0.250 0.000
0.751 0.251 0.514
0.251 0.251 0.257
0.750 0.750 0.758


No. 4
Cs2SF4 (PBE, optimized geometry); density = 3.47 g/cm³; SG = I4/mmm; E = -3.979 eV per atom
1.0
-3.266 3.266 4.187
3.266 -3.266 4.187
3.266 3.266 -4.187
Cs S F
2 1 4
direct
0.250 0.750 0.500
0.750 0.250 0.500
0.000 0.000 0.000
0.209 0.209 0.418
0.209 0.791 0.000
0.791 0.209 0.000
0.791 0.791 0.582


No. 5
Cs3SF (PBE, optimized geometry); density = 3.55 g/cm³; offset from the most stable computed form = 18.3 meV/atom; SG = P-1; E = -3.303 eV per atom
1.0
8.224 0.000 0.000
4.109 7.125 0.000
4.105 2.378 7.184
Cs S F
6 2 2
direct
0.037 0.451 0.237
0.225 0.963 0.763
0.451 0.776 0.237
0.549 0.224 0.763
0.775 0.037 0.237
0.963 0.549 0.763
0.360 0.360 0.420
0.640 0.640 0.580
0.152 0.152 0.045
0.848 0.848 0.955


No. 6
Cs12S5F3 (PBE, optimized geometry); density = 3.19 g/cm³; SG = Ia-3d; E = -3.079 eV per atom
1.0
-9.811 9.811 9.811
9.811 -9.811 9.811
9.811 9.811 -9.811
Cs S F
48 20 12
direct
0.054 0.229 0.122
0.054 0.325 0.932
0.068 0.622 0.393
0.068 0.946 0.675
0.107 0.729 0.675
0.107 0.878 0.432
0.122 0.054 0.229
0.122 0.568 0.893
0.175 0.229 0.607
0.175 0.446 0.568
0.229 0.122 0.054
0.229 0.607 0.175
0.271 0.325 0.893
0.271 0.446 0.378
0.325 0.893 0.271
0.325 0.932 0.054
0.378 0.271 0.446
0.378 0.607 0.932
0.393 0.068 0.622
0.393 0.825 0.771
0.432 0.107 0.878
0.432 0.825 0.554
0.446 0.378 0.271
0.446 0.568 0.175
0.554 0.432 0.825
0.554 0.622 0.729
0.568 0.175 0.446
0.568 0.893 0.122
0.607 0.175 0.229
0.607 0.932 0.378
0.622 0.393 0.068
0.622 0.729 0.554
0.675 0.068 0.946
0.675 0.107 0.729
0.729 0.554 0.622
0.729 0.675 0.107
0.771 0.393 0.825
0.771 0.878 0.946
0.825 0.554 0.432
0.825 0.771 0.393
0.878 0.432 0.107
0.878 0.946 0.771
0.893 0.122 0.568
0.893 0.271 0.325
0.932 0.054 0.325
0.932 0.378 0.607
0.946 0.675 0.068
0.946 0.771 0.878
0.000 0.000 0.000
0.000 0.000 0.500
0.000 0.500 0.000
0.000 0.500 0.500
0.125 0.750 0.875
0.125 0.875 0.250
0.250 0.125 0.875
0.250 0.625 0.375
0.375 0.250 0.625
0.375 0.625 0.750
0.500 0.000 0.000
0.500 0.000 0.500
0.500 0.500 0.000
0.500 0.500 0.500
0.625 0.375 0.250
0.625 0.750 0.375
0.750 0.375 0.625
0.750 0.875 0.125
0.875 0.125 0.750
0.875 0.250 0.125
0.125 0.250 0.375
0.125 0.375 0.750
0.250 0.375 0.125
0.250 0.875 0.625
0.375 0.125 0.250
0.375 0.750 0.125
0.625 0.250 0.875
0.625 0.875 0.750
0.750 0.125 0.375
0.750 0.625 0.875
0.875 0.625 0.250
0.875 0.750 0.625


No. 7
Cs2SF (PBE, optimized geometry); density = 3.98 g/cm³; offset from the most stable computed form = 134.9 meV/atom; SG = Fm-3m; E = -3.263 eV per atom
1.0
0.000 4.044 4.044
4.044 0.000 4.044
4.044 4.044 0.000
Cs S F
2 1 1
direct
0.250 0.250 0.250
0.750 0.750 0.750
0.000 0.000 0.000
0.500 0.500 0.500


No. 8
CsS2F (PBE, optimized geometry); density = 2.76 g/cm³; offset from the most stable computed form = 0.0 meV/atom; SG = I4_1/amd; E = -3.674 eV per atom
1.0
-2.092 2.092 14.828
2.092 -2.092 14.828
2.092 2.092 -14.828
Cs S F
2 4 2
direct
0.375 0.625 0.750
0.625 0.375 0.250
0.000 0.000 0.000
0.000 0.000 0.500
0.000 0.500 0.000
0.500 0.000 0.500
0.125 0.875 0.250
0.875 0.125 0.750


No. 9
CsSF3 (PBE, optimized geometry); density = 3.39 g/cm³; offset from the most stable computed form = 0.0 meV/atom; SG = I4/mmm; E = -3.801 eV per atom
1.0
-3.358 3.358 4.822
3.358 -3.358 4.822
3.358 3.358 -4.822
Cs S F
2 2 6
direct
0.250 0.750 0.500
0.750 0.250 0.500
0.000 0.000 0.000
0.500 0.500 0.000
0.188 0.188 0.000
0.304 0.304 0.607
0.304 0.696 0.000
0.696 0.304 0.000
0.696 0.696 0.393
0.812 0.812 0.000


No. 10
Cs2SF (PBE, optimized geometry); density = 4.35 g/cm³; offset from the most stable computed form = 0.0 meV/atom; SG = P4/mmm; E = -3.398 eV per atom
1.0
3.755 0.000 0.000
0.000 3.755 0.000
0.000 0.000 8.571
Cs S F
2 1 1
direct
0.000 0.000 0.214
0.000 0.000 0.786
0.500 0.500 0.500
0.500 0.500 0.000


No. 11
CsSF6 (PBE, optimized geometry); density = 2.19 g/cm³; offset from the most stable computed form = 17.5 meV/atom; SG = Fm-3m; E = -3.908 eV per atom
1.0
0.000 4.733 4.733
4.733 0.000 4.733
4.733 4.733 0.000
Cs S F
1 1 6
direct
0.000 0.000 0.000
0.500 0.500 0.500
0.316 0.316 0.684
0.316 0.684 0.316
0.316 0.684 0.684
0.684 0.316 0.316
0.684 0.316 0.684
0.684 0.684 0.316


No. 12
CsSF3 (PBE, optimized geometry); density = 2.66 g/cm³; offset from the most stable computed form = 1190.5 meV/atom; SG = Pm-3m; E = -2.610 eV per atom
1.0
5.177 0.000 0.000
0.000 5.177 0.000
0.000 0.000 5.177
Cs S F
1 1 3
direct
0.000 0.000 0.000
0.500 0.500 0.500
0.000 0.000 0.500
0.000 0.500 0.000
0.500 0.000 0.000


Q: Which of these has the highest E?
A: number 12